1:
# NbFe2Os2

A relaxed structure of NbFe2Os2 (PBE-GGA, the Alexandria database).

Cell lengths 7.0944, 7.0944, 2.7161 Å; angles 90.00, 90.00, 90.00 degrees
Sites, in units of the cell vectors:
Nb  0.0000  0.0000  0.0000
Nb  0.5000  0.5000  0.0000
Os  0.6741  0.8259  0.5000
Os  0.3259  0.1741  0.5000
Os  0.8259  0.3259  0.5000
Os  0.1741  0.6741  0.5000
Fe  0.8801  0.6199  0.0000
Fe  0.3801  0.8801  0.0000
Fe  0.1199  0.3801  0.0000
Fe  0.6199  0.1199  0.0000

2:
# NbFe2Os2

A relaxed structure of NbFe2Os2 (PBE-GGA, the Alexandria database).

Cell lengths 7.2189, 7.2189, 2.6599 Å; angles 90.00, 90.00, 90.00 degrees
Sites, in units of the cell vectors:
Nb  0.5000  0.5000  0.0000
Nb  0.0000  0.0000  0.0000
Fe  0.6685  0.8315  0.5000
Fe  0.1685  0.6685  0.5000
Fe  0.8315  0.3315  0.5000
Fe  0.3315  0.1685  0.5000
Os  0.1272  0.3728  0.0000
Os  0.3728  0.8728  0.0000
Os  0.8728  0.6272  0.0000
Os  0.6272  0.1272  0.0000

Order of stability, best first: 1, 2

1:
# NbFe3P

A relaxed structure of NbFe3P (PBE-GGA, the Alexandria database).

Cell lengths 4.5268, 4.5268, 4.5268 Å; angles 90.00, 90.00, 90.00 degrees
Sites, in units of the cell vectors:
P  0.5000  0.5000  0.5000
Nb  0.0000  0.0000  0.0000
Fe  0.0000  0.0000  0.5000
Fe  0.5000  0.0000  0.0000
Fe  0.0000  0.5000  0.0000

2:
# NbFe3P

A relaxed structure of NbFe3P (PBE-GGA, the Alexandria database).

Cell lengths 4.0617, 4.0617, 4.0617 Å; angles 90.00, 90.00, 90.00 degrees
Sites, in units of the cell vectors:
Fe  0.0000  0.0000  0.5000
Fe  0.0000  0.5000  0.0000
Fe  0.5000  0.0000  0.0000
P  0.0000  0.0000  0.0000
Nb  0.5000  0.5000  0.5000

Order of stability, best first: 2, 1

1:
# NbFeP2S

A relaxed structure of NbFeP2S (PBE-GGA, the Alexandria database).

Cell lengths 4.8441, 4.8441, 4.7027 Å; angles 90.00, 90.00, 90.00 degrees
Sites, in units of the cell vectors:
Nb  0.0000  0.0000  0.0000
S  0.0000  0.0000  0.5000
P  0.5000  0.0000  0.0000
P  0.0000  0.5000  0.0000
Fe  0.5000  0.5000  0.5000

2:
# NbFeP2S

A relaxed structure of NbFeP2S (PBE-GGA, the Alexandria database).

Cell lengths 4.1915, 4.1915, 4.7690 Å; angles 90.00, 90.00, 90.00 degrees
Sites, in units of the cell vectors:
S  0.0000  0.0000  0.5000
Fe  0.0000  0.0000  0.0000
P  0.5000  0.0000  0.0000
P  0.0000  0.5000  0.0000
Nb  0.5000  0.5000  0.5000

Order of stability, best first: 2, 1

1:
# NbFePb3

A relaxed structure of NbFePb3 (PBE-GGA, the Alexandria database).

Cell lengths 5.1569, 5.1569, 5.1569 Å; angles 90.00, 90.00, 90.00 degrees
Sites, in units of the cell vectors:
Pb  0.0000  0.5000  0.0000
Pb  0.5000  0.0000  0.0000
Pb  0.0000  0.0000  0.5000
Fe  0.0000  0.0000  0.0000
Nb  0.5000  0.5000  0.5000

2:
# NbFePb3

A relaxed structure of NbFePb3 (PBE-GGA, the Alexandria database).

Cell lengths 5.5036, 5.5036, 5.5036 Å; angles 90.00, 90.00, 90.00 degrees
Sites, in units of the cell vectors:
Pb  0.5000  0.0000  0.0000
Pb  0.0000  0.5000  0.0000
Pb  0.0000  0.0000  0.5000
Nb  0.0000  0.0000  0.0000
Fe  0.5000  0.5000  0.5000

Order of stability, best first: 1, 2

1:
# NbFePd3

A relaxed structure of NbFePd3 (PBE-GGA, the Alexandria database).

Cell lengths 4.7985, 4.7985, 4.7985 Å; angles 90.00, 90.00, 90.00 degrees
Sites, in units of the cell vectors:
Fe  0.5000  0.5000  0.5000
Nb  0.0000  0.0000  0.0000
Pd  0.0000  0.5000  0.0000
Pd  0.0000  0.0000  0.5000
Pd  0.5000  0.0000  0.0000

2:
# NbFePd3

A relaxed structure of NbFePd3 (PBE-GGA, the Alexandria database).

Cell lengths 4.4917, 4.4917, 4.4917 Å; angles 90.00, 90.00, 90.00 degrees
Sites, in units of the cell vectors:
Nb  0.5000  0.5000  0.5000
Pd  0.0000  0.5000  0.0000
Pd  0.0000  0.0000  0.5000
Pd  0.5000  0.0000  0.0000
Fe  0.0000  0.0000  0.0000

Order of stability, best first: 2, 1

1:
# Nb2FePd6

A relaxed structure of Nb2FePd6 (PBE-GGA, the Alexandria database).

Cell lengths 3.9451, 6.2215, 6.3088 Å; angles 84.31, 71.78, 71.52 degrees
Sites, in units of the cell vectors:
Pd  0.0095  0.8167  0.1644
Pd  0.3344  0.8313  0.5000
Pd  0.6656  0.1687  0.5000
Pd  0.9905  0.1833  0.8356
Pd  0.3262  0.1833  0.1643
Pd  0.6738  0.8167  0.8357
Nb  0.6500  0.5000  0.1999
Nb  0.3500  0.5000  0.8001
Fe  0.0000  0.5000  0.5000

2:
# Nb2FePd6

A relaxed structure of Nb2FePd6 (PBE-GGA, the Alexandria database).

Cell lengths 2.7643, 7.6521, 7.9852 Å; angles 118.63, 100.02, 90.00 degrees
Sites, in units of the cell vectors:
Pd  0.8325  0.6530  0.6677
Pd  0.1675  0.3470  0.3323
Pd  0.5000  0.6909  0.0000
Pd  0.8325  0.0147  0.6677
Pd  0.1675  0.9853  0.3323
Pd  0.5000  0.3091  0.0000
Nb  0.3320  0.3352  0.6704
Nb  0.6680  0.6648  0.3296
Fe  0.0000  0.0000  0.0000

Order of stability, best first: 1, 2